# BH3Rh

BH3Rh after structural relaxation (PBE, Alexandria via LeMat-Bulk).

Computed properties:
**ΔE to the lowest computed polymorph**: 0.000 eV per atom
**Symmetry**: Pm-3m (221)

Lattice parameters (Å, degrees): 3.1139 3.1139 3.1139 90.00 90.00 90.00
Fractional positions:
H  0.0000  0.5000  0.0000
H  0.0000  0.0000  0.5000
H  0.5000  0.0000  0.0000
B  0.0000  0.0000  0.0000
Rh  0.5000  0.5000  0.5000



# Nd6AsP2Cl3

Nd6AsP2Cl3 after structural relaxation (PBE, Alexandria via LeMat-Bulk).

Computed properties:
**Total energy**: -5.718 eV/atom
**Symmetry**: C2/m (12)

Lattice parameters (Å, degrees): 4.1750 8.4451 9.4238 103.74 102.80 90.00
Fractional positions:
Nd  0.3376  0.8921  0.6752
Nd  0.6747  0.5631  0.3494
Nd  0.6624  0.1079  0.3248
Nd  0.0104  0.2397  0.0208
Nd  0.9896  0.7603  0.9792
Nd  0.3253  0.4369  0.6506
As  0.5000  0.0000  0.0000
P  0.8322  0.6653  0.6643
P  0.1678  0.3347  0.3357
Cl  0.5000  0.5000  0.0000
Cl  0.8343  0.1671  0.6686
Cl  0.1657  0.8329  0.3314



# KZnSe2

KZnSe2 after structural relaxation (PBE, Alexandria via LeMat-Bulk).

Computed properties:
**Total energy**: -2.578 eV/atom
**Symmetry**: C2/m (12)

Lattice parameters (Å, degrees): 5.6755 5.6755 2.9865 96.93 96.93 88.70
Fractional positions:
K  0.0000  0.5000  0.5000
Se  0.0000  0.0000  0.0000
Se  0.5000  0.5000  0.0000
Zn  0.5000  0.0000  0.5000



# Na5ZrTe5

Na5ZrTe5 after structural relaxation (PBE, Alexandria via LeMat-Bulk).

Computed properties:
**Total energy**: -3.581 eV/atom
**Symmetry**: C2/m (12)

Lattice parameters (Å, degrees): 6.0232 8.0435 8.8590 106.75 90.00 111.99
Fractional positions:
Na  0.6980  0.3960  0.3262
Na  0.6862  0.3724  0.8607
Na  0.0000  0.0000  0.5000
Na  0.3138  0.6276  0.1393
Na  0.3020  0.6040  0.6738
Zr  0.0000  0.0000  0.0000
Te  0.8603  0.7205  0.1677
Te  0.8501  0.7003  0.6912
Te  0.5000  0.0000  0.0000
Te  0.1499  0.2997  0.3088
Te  0.1397  0.2795  0.8323



M_tot values (in μB per cell) by entry order: 0.0 0.0 0.0 0.0.